Entry from Alexandria: crystalline Li5Mn2CoO8 at its relaxed geometry (PBE+U).

Computed properties:
Symmetry   P2/m (10)
Calculated total energy   -5.9691 eV/atom
Magnetization   5.991 μB/cell

Cell: 5.004 2.890 9.868 Å, 90.00 100.11 90.00°
Atoms (fractional coordinates):
Li 0.000 0.000 0.000
Li 0.215 0.500 0.220
Li 0.262 0.000 0.768
Li 0.738 0.000 0.232
Li 0.785 0.500 0.780
Mn 0.000 0.500 0.500
Mn 0.500 0.500 0.000
Co 0.500 0.000 0.500
O 0.134 0.000 0.391
O 0.156 0.500 0.881
O 0.369 0.500 0.603
O 0.381 0.000 0.111
O 0.619 0.000 0.889
O 0.631 0.500 0.397
O 0.844 0.500 0.119
O 0.866 0.000 0.609